1.
VASP calculation (GGA-PBE) on crystalline Hf2AgAu at its relaxed geometry.

Geometry as CIF:
```
data_Hf2AgAu
_chemical_formula_sum 'Hf8 Ag4 Au4'
_space_group_name_H-M_alt 'I -4 2 d'
_space_group_IT_number 122
_space_group_name_Hall 'I -4 2bw'
_cell_length_a 7.703
_cell_length_b 7.703
_cell_length_c 5.677
_cell_angle_alpha 90.00
_cell_angle_beta 90.00
_cell_angle_gamma 90.00
loop_
_atom_site_label
_atom_site_type_symbol
_atom_site_fract_x
_atom_site_fract_y
_atom_site_fract_z
Hf1 Hf 0.239 0.250 0.125
Ag1 Ag 0.000 0.000 0.500
Au1 Au 0.000 0.000 0.000
```

## Properties
DFT formation energy: 18.56 kJ per mole of atoms
Fermi-level density of states: 2.97 states/eV/f.u.



2.
VASP calculation (GGA-PBE) on crystalline HfAgAu2 at its relaxed geometry.

Geometry as CIF:
```
data_HfAgAu2
_chemical_formula_sum 'Hf2 Ag2 Au4'
_space_group_name_H-M_alt 'I m m m'
_space_group_IT_number 71
_space_group_name_Hall '-I 2 2'
_cell_length_a 2.887
_cell_length_b 5.046
_cell_length_c 11.197
_cell_angle_alpha 90.00
_cell_angle_beta 90.00
_cell_angle_gamma 90.00
loop_
_atom_site_label
_atom_site_type_symbol
_atom_site_fract_x
_atom_site_fract_y
_atom_site_fract_z
Hf1 Hf 0.000 0.000 0.000
Ag1 Ag 0.000 0.000 0.500
Au1 Au 0.000 0.000 0.244
```

## Properties
DFT formation energy: 17.44 kJ per mole of atoms
Fermi-level density of states: 2.45 states/eV/f.u.



3.
VASP calculation (GGA-PBE) on crystalline HfAgAu2 at its relaxed geometry.

Geometry as CIF:
```
data_HfAgAu2
_chemical_formula_sum 'Hf1 Ag1 Au2'
_space_group_name_H-M_alt 'P 4/m m m'
_space_group_IT_number 123
_space_group_name_Hall '-P 4 2'
_cell_length_a 4.964
_cell_length_b 4.964
_cell_length_c 3.076
_cell_angle_alpha 90.00
_cell_angle_beta 90.00
_cell_angle_gamma 90.00
loop_
_atom_site_label
_atom_site_type_symbol
_atom_site_fract_x
_atom_site_fract_y
_atom_site_fract_z
Hf1 Hf 0.000 0.000 0.000
Ag1 Ag 0.500 0.500 0.000
Au1 Au 0.000 0.500 0.500
```

## Properties
DFT formation energy: -20.91 kJ per mole of atoms
Fermi-level density of states: 1.95 states/eV/f.u.



4.
VASP calculation (GGA-PBE) on crystalline HfIn2AgAu at its relaxed geometry.

Geometry as CIF:
```
data_HfIn2AgAu
_chemical_formula_sum 'Hf1 In2 Ag1 Au1'
_space_group_name_H-M_alt 'P 4/m m m'
_space_group_IT_number 123
_space_group_name_Hall '-P 4 2'
_cell_length_a 5.047
_cell_length_b 5.047
_cell_length_c 5.276
_cell_angle_alpha 90.00
_cell_angle_beta 90.00
_cell_angle_gamma 90.00
loop_
_atom_site_label
_atom_site_type_symbol
_atom_site_fract_x
_atom_site_fract_y
_atom_site_fract_z
Hf1 Hf 0.000 0.000 0.000
In1 In 0.000 0.500 0.500
Ag1 Ag 0.000 0.000 0.500
Au1 Au 0.500 0.500 0.000
```

## Properties
DFT formation energy: 64.67 kJ per mole of atoms
Fermi-level density of states: 3.60 states/eV/f.u.